[1]
DFT (PBE-GGA) results for an optimized crystal structure of Ti4NiBi.

abc: 8.766 8.766 5.552
angles: 90.00 90.00 147.79
Fractional coordinates of all 12 atoms:
Ti  0.050  0.950  0.500
Ti  0.205  0.795  0.252
Ti  0.205  0.795  0.749
Ti  0.379  0.621  0.500
Ti  0.621  0.379  0.000
Ti  0.795  0.205  0.249
Ti  0.795  0.205  0.752
Ti  0.950  0.050  0.000
Ni  0.084  0.916  0.001
Ni  0.916  0.084  0.501
Bi  0.361  0.639  0.000
Bi  0.639  0.361  0.500

Properties
calculated formation energy: 0.0456 eV/atom
relative energy among the computed polymorphs: 166 meV per atom

[2]
DFT (PBE-GGA) results for an optimized crystal structure of Ti2Ni2Bi.

abc: 7.370 7.370 3.123
angles: 90.00 90.00 90.00
Fractional coordinates of all 10 atoms:
Ti  0.148  0.352  0.000
Ti  0.352  0.852  0.000
Ti  0.648  0.148  0.000
Ti  0.852  0.648  0.000
Ni  0.126  0.626  0.500
Ni  0.374  0.126  0.500
Ni  0.626  0.874  0.500
Ni  0.874  0.374  0.500
Bi  0.000  0.000  0.000
Bi  0.500  0.500  0.000

Properties
calculated formation energy: -0.0271 eV/atom
relative energy among the computed polymorphs: 205 meV per atom

[3]
DFT (PBE-GGA) results for an optimized crystal structure of Ti2NiBi.

abc: 7.251 7.251 5.640
angles: 90.00 90.00 90.00
Fractional coordinates of all 16 atoms:
Ti  0.198  0.250  0.125
Ti  0.250  0.698  0.375
Ti  0.250  0.802  0.875
Ti  0.302  0.250  0.625
Ti  0.698  0.750  0.625
Ti  0.750  0.198  0.875
Ti  0.750  0.302  0.375
Ti  0.802  0.750  0.125
Ni  0.000  0.000  0.000
Ni  0.000  0.500  0.250
Ni  0.500  0.000  0.750
Ni  0.500  0.500  0.500
Bi  0.000  0.000  0.500
Bi  0.000  0.500  0.750
Bi  0.500  0.000  0.250
Bi  0.500  0.500  0.000

Properties
calculated formation energy: 0.0502 eV/atom

Question: The lowest calculated formation energy belongs to which entry?
Answer: Ti2Ni2Bi